This record from Alexandria via LeMat-Bulk describes crystalline PmDy4Er2Mg at its relaxed geometry. The functional is PBE.

## Properties
- density of states at the Fermi level (states/eV/cell) = 15.1
- E_tot (eV/cell) = -33.1

a = 5.748 Å, b = 5.748 Å, c = 7.438 Å
α = 90.00°, β = 90.00°, γ = 90.00°
Space group P4/mmm (No. 123)
Inequivalent atoms, fractional coordinates:
Pm: 0.000 0.000 0.000 x1
Dy: 0.000 0.500 0.247 x4
Er: 0.000 0.000 0.500 x1
Er: 0.500 0.500 0.500 x1
Mg: 0.500 0.500 0.000 x1